# 1
A geometry-optimized V5Ga2Sn structure. Source: the Alexandria database, functional GGA-PBE.

Structure (POSCAR):
```
V5Ga2Sn
1.0
-4.935 -0.015 -4.269
-4.265 -0.255 4.932
4.446 5.771 -0.173
V Ga Sn
10 4 2
Cartesian
-3.634 1.563 2.620
0.000 0.000 0.000
-4.600 -0.135 0.332
0.907 3.867 2.349
-2.409 1.688 -0.632
2.132 3.992 -0.902
-1.120 3.937 -2.129
-2.345 3.813 1.122
-6.886 1.509 1.393
-5.661 1.634 -1.859
-6.975 -0.176 -0.528
-5.458 -0.225 2.706
-2.225 -0.094 1.191
-3.742 -0.045 -2.042
-0.077 2.818 0.079
-4.677 2.683 0.411
```

Output
space group: I4/mcm
DFT formation energy: -6.0 kJ/mol of atoms
total moment: 0.000 μB/f.u.

---

# 2
A geometry-optimized V2GaSn structure. Source: the Alexandria database, functional GGA-PBE.

Structure (POSCAR):
```
V2GaSn
1.0
4.074 0.000 0.000
0.000 3.955 0.000
0.000 0.000 3.955
V Ga Sn
2 1 1
Cartesian
0.000 1.978 0.000
0.000 0.000 1.978
2.037 1.978 1.978
2.037 0.000 0.000
```

Output
space group: P4/mmm
DFT formation energy: 9.7 kJ/mol of atoms
total moment: 0.019 μB/f.u.